1.
First-principles (PBE-GGA) data for a geometry-optimized CuNi3As5 structure, as listed in OQMD.

Results
Energy (eV per atom): -4.760
SG: P6/mmm
V (Å³ per atom): 16.66

a b c (Å): 4.9114 4.9114 7.1779
angles (deg): 90.00 90.00 120.00
Sites, in units of the cell vectors:
Cu: 0.0000 0.0000 0.0000
Ni: 0.0000 0.5000 0.5000
Ni: 0.5000 0.0000 0.5000
Ni: 0.5000 0.5000 0.5000
As: 0.0000 0.0000 0.5000
As: 0.3333 0.6667 0.2140
As: 0.3333 0.6667 0.7860
As: 0.6667 0.3333 0.2140
As: 0.6667 0.3333 0.7860

2.
First-principles (PBE-GGA) data for a geometry-optimized MgTc structure, as listed in OQMD.

Results
Energy relative to the lowest polymorph listed for this composition (eV per atom): 0.1535
Energy (eV per atom): -5.825
SG: Pmmn
V (Å³ per atom): 16.43

a b c (Å): 4.5279 12.7963 4.5384
angles (deg): 90.00 90.00 90.00
Sites, in units of the cell vectors:
Mg: 0.2500 0.1213 0.2479
Mg: 0.2500 0.2500 0.7496
Mg: 0.2500 0.3787 0.2479
Mg: 0.2500 0.7500 0.7479
Mg: 0.7500 0.2500 0.2521
Mg: 0.7500 0.6213 0.7521
Mg: 0.7500 0.7500 0.2504
Mg: 0.7500 0.8787 0.7521
Tc: 0.2500 0.0001 0.7484
Tc: 0.2500 0.4999 0.7484
Tc: 0.2500 0.5977 0.2483
Tc: 0.2500 0.9023 0.2483
Tc: 0.7500 0.9999 0.2516
Tc: 0.7500 0.0977 0.7517
Tc: 0.7500 0.4023 0.7517
Tc: 0.7500 0.5001 0.2516

3.
First-principles (PBE-GGA) data for a geometry-optimized YGaCuPd structure, as listed in OQMD.

Results
Energy relative to the lowest polymorph listed for this composition (eV per atom): 0.1270
Energy (eV per atom): -5.013
SG: F-43m
V (Å³ per atom): 18.06

a b c (Å): 6.6111 6.6111 6.6111
angles (deg): 90.00 90.00 90.00
Sites, in units of the cell vectors:
Y: 0.0000 0.0000 0.0000
Y: 0.0000 0.5000 0.5000
Y: 0.5000 0.0000 0.5000
Y: 0.5000 0.5000 0.0000
Ga: 0.2500 0.2500 0.2500
Ga: 0.2500 0.7500 0.7500
Ga: 0.7500 0.2500 0.7500
Ga: 0.7500 0.7500 0.2500
Cu: 0.0000 0.0000 0.5000
Cu: 0.0000 0.5000 0.0000
Cu: 0.5000 0.0000 0.0000
Cu: 0.5000 0.5000 0.5000
Pd: 0.2500 0.2500 0.7500
Pd: 0.2500 0.7500 0.2500
Pd: 0.7500 0.2500 0.2500
Pd: 0.7500 0.7500 0.7500